# SrHfSiBr2

Crystalline SrHfSiBr2 at its relaxed geometry (PBE, the Alexandria database).

Properties
**Density**: 5.13 Mg/m³
**D(E_F)**: 2.47 states/eV/f.u.
**Calculated total energy**: -4.6437 eV/atom
**Energy relative to the elements, uncorrected**: -0.56 eV/atom

Cell lengths 5.2505, 5.2505, 5.3284 Å; angles 90.00, 90.00, 90.00 degrees
Space group P4/mmm (No. 123)
Inequivalent atoms, fractional coordinates:
Sr: 0.0000 0.0000 0.0000 x1
Hf: 0.5000 0.5000 0.5000 x1
Si: 0.5000 0.5000 0.0000 x1
Br: 0.0000 0.5000 0.5000 x2

***

# Na2AcTl7

Crystalline Na2AcTl7 at its relaxed geometry (PBE, the Alexandria database).

Properties
**Formation enthalpy at 0 K**: -0.0808 eV per atom
**Density**: 9.00 Mg/m³
**D(E_F)**: 4.23 states/eV/f.u.
**Calculated total energy**: -2.4118 eV/atom

Cell lengths 5.2843, 5.2843, 13.0033 Å; angles 90.00, 90.00, 120.00 degrees
Space group P3m1 (No. 156)
Inequivalent atoms, fractional coordinates:
Na: 0.0000 0.0000 0.0000 x1
Na: 0.3333 0.6667 0.5876 x1
Ac: 0.6667 0.3333 0.3775 x1
Tl: 0.0000 0.0000 0.2488 x1
Tl: 0.0000 0.0000 0.5101 x1
Tl: 0.0000 0.0000 0.7600 x1
Tl: 0.3333 0.6667 0.1783 x1
Tl: 0.3333 0.6667 0.8699 x1
Tl: 0.6667 0.3333 0.0661 x1
Tl: 0.6667 0.3333 0.6707 x1

***

# Hg2Pd2Au

Crystalline Hg2Pd2Au at its relaxed geometry (PBE, the Alexandria database).

Properties
**Formation enthalpy at 0 K**: 0.1817 eV per atom
**Density**: 12.64 Mg/m³
**ΔE to the lowest computed polymorph**: 253.2 meV per atom
**D(E_F)**: 3.20 states/eV/f.u.
**Calculated total energy**: -2.6716 eV/atom

Cell lengths 4.9128, 8.1608, 5.3360 Å; angles 90.00, 95.30, 90.00 degrees
Space group C2/m (No. 12)
Inequivalent atoms, fractional coordinates:
Hg: 0.0000 0.1736 0.0000 x4
Pd: 0.0237 0.5000 0.7537 x4
Au: 0.0000 0.0000 0.5000 x2

***

# GdCdGa

Crystalline GdCdGa at its relaxed geometry (PBE, the Alexandria database).

Properties
**Formation enthalpy at 0 K**: -0.4052 eV per atom
**Density**: 7.43 Mg/m³
**D(E_F)**: 1.16 states/eV/f.u.
**Calculated total energy**: -6.4129 eV/atom

Cell lengths 6.7191, 6.7191, 6.7191 Å; angles 90.00, 90.00, 90.00 degrees
Space group F-43m (No. 216)
Inequivalent atoms, fractional coordinates:
Gd: 0.0000 0.0000 0.0000 x4
Cd: 0.0000 0.0000 0.5000 x4
Ga: 0.2500 0.2500 0.2500 x4

***

# LaTb5As6

Crystalline LaTb5As6 at its relaxed geometry (PBE, the Alexandria database).

Properties
**Formation enthalpy at 0 K**: -1.5372 eV per atom
**Density**: 7.41 Mg/m³
**D(E_F)**: 1.64 states/eV/f.u.
**Calculated total energy**: -6.2019 eV/atom

Cell lengths 7.2410, 12.5404, 7.2404 Å; angles 90.00, 109.47, 90.00 degrees
Space group C2/m (No. 12)
Inequivalent atoms, fractional coordinates:
La: 0.0000 0.0000 0.0000 x2
Tb: 0.0000 0.1653 0.5000 x4
Tb: 0.0000 0.3329 0.0000 x4
Tb: 0.0000 0.5000 0.5000 x2
As: 0.2445 0.5000 0.2533 x4
As: 0.2452 0.3301 0.7456 x8

***

# Ca2NdGa

Crystalline Ca2NdGa at its relaxed geometry (PBE, the Alexandria database).

Properties
**Formation enthalpy at 0 K**: -0.1684 eV per atom
**Density**: 4.06 Mg/m³
**ΔE to the lowest computed polymorph**: 45.5 meV per atom
**D(E_F)**: 1.67 states/eV/f.u.
**Calculated total energy**: -3.1179 eV/atom

Cell lengths 4.8023, 4.8023, 5.2213 Å; angles 90.00, 90.00, 90.00 degrees
Space group P4/mmm (No. 123)
Inequivalent atoms, fractional coordinates:
Ca: 0.0000 0.5000 0.0000 x2
Nd: 0.0000 0.0000 0.5000 x1
Ga: 0.5000 0.5000 0.5000 x1

***

Question: Number 4 is which compound?
Answer: GdCdGa

***

Question: The highest calculated total energy belongs to which entry?
Answer: Na2AcTl7

***

Question: calculated total energy of number 5 (LaTb5As6)?
Answer: -6.2019 eV/atom

***

Question: Look up the calculated total energy of the fifth one.
Answer: -6.2019 eV/atom